(1)
Crystalline Cs2Ag2Cl at its relaxed geometry. Source: Alexandria, functional PBE.

density of states at the Fermi level	1.72	states/eV per cell
offset from the most stable computed form	0	meV/atom
raw formation energy	-0.67	eV per atom
crystal system	tetragonal
total energy	-2.5226	eV/atom

Cell lengths 4.0820, 4.0820, 10.7752 Å; angles 79.08, 79.08, 90.00 degrees
Last column: nearest neighbours and their distance in Å.
Sites, in units of the cell vectors:
Cs 0.4002 0.4002 0.1997  4 Cl 3.55, 4 Ag 3.73
Cs 0.5998 0.5998 0.8003  4 Cl 3.55, 4 Ag 3.73
Ag 0.7500 0.2500 0.5000  4 Ag 2.89
Ag 0.2500 0.7500 0.5000  4 Ag 2.89
Cl 0.0000 0.0000 0.0000  8 Cs 3.55

=====

(2)
Crystalline ErCo3Br9 at its relaxed geometry. Source: Alexandria, functional PBE.

density of states at the Fermi level	0.08	states/eV per cell
raw formation energy	-0.71	eV per atom
crystal system	monoclinic
total energy	-3.8638	eV/atom

Cell lengths 10.4029, 10.4029, 13.2937 Å; angles 55.96, 55.96, 53.14 degrees
Last column: nearest neighbours and their distance in Å.
Sites, in units of the cell vectors:
Er 0.5197 0.9842 0.9959  6 Br 2.79-2.84
Er 0.9842 0.5197 0.4959  6 Br 2.79-2.84
Co 0.0347 0.1867 0.3277  4 Br 2.39-2.42
Co 0.1867 0.0347 0.8277  4 Br 2.39-2.42
Co 0.7754 0.0103 0.1664  4 Br 2.39-2.42
Co 0.0103 0.7754 0.6664  4 Br 2.39-2.42
Co 0.5598 0.4084 0.2804  4 Br 2.38-2.43
Co 0.4084 0.5598 0.7804  4 Br 2.38-2.43
Br 0.8485 0.6728 0.6730  1 Co 2.42
Br 0.6728 0.8485 0.1730  1 Co 2.42
Br 0.5885 0.6391 0.0771  1 Co 2.42
Br 0.6391 0.5885 0.5771  1 Co 2.42
Br 0.9598 0.8289 0.2916  1 Co 2.39
Br 0.8289 0.9598 0.7916  1 Co 2.39
Br 0.5213 0.2866 0.9374  1 Co 2.43
Br 0.2866 0.5213 0.4374  1 Co 2.43
Br 0.1322 0.1711 0.6284  1 Co 2.42
Br 0.1711 0.1322 0.1284  1 Co 2.42
Br 0.0607 0.4180 0.3031  1 Co 2.40
Br 0.4180 0.0607 0.8031  1 Co 2.40
Br 0.2154 0.5239 0.7648  2 Co 2.38-2.39
Br 0.5239 0.2154 0.2648  2 Co 2.38-2.39
Br 0.7355 0.2609 0.4079  2 Co 2.40
Br 0.2609 0.7355 0.9079  2 Co 2.40
Br 0.9185 0.1746 0.9683  2 Co 2.39
Br 0.1746 0.9185 0.4683  2 Co 2.39

=====

(3)
Crystalline CdPI2O at its relaxed geometry. Source: Alexandria, functional PBE.

density of states at the Fermi level	1.43	states/eV per cell
offset from the most stable computed form	0	meV/atom
raw formation energy	-0.17	eV per atom
crystal system	tetragonal
total energy	-3.0476	eV/atom

Cell lengths 5.7781, 5.7781, 3.6140 Å; angles 90.00, 90.00, 90.00 degrees
Last column: nearest neighbours and their distance in Å.
Sites, in units of the cell vectors:
I 0.0000 0.5000 0.0000  2 P 2.89
I 0.5000 0.0000 0.0000  2 P 2.89
P 0.0000 0.0000 0.0000  2 O 1.81
O 0.0000 0.0000 0.5000  2 P 1.81
Cd 0.5000 0.5000 0.5000  8 I 3.41, 2 Cd 3.61

=====

(4)
Crystalline HoGe3Ir2 at its relaxed geometry. Source: Alexandria, functional PBE.

density of states at the Fermi level	5.32	states/eV per cell
crystal system	monoclinic
total energy	-6.5594	eV/atom
energy relative to the elements	-0.534	eV/atom

Cell lengths 3.9985, 7.4534, 8.7255 Å; angles 120.36, 103.25, 90.00 degrees
Last column: nearest neighbours and their distance in Å.
Sites, in units of the cell vectors:
Ho 0.1260 0.0990 0.2520  6 Ir 2.96-3.15, 6 Ge 2.97-3.30
Ho 0.8740 0.9010 0.7480  6 Ir 2.96-3.15, 6 Ge 2.97-3.30
Ge 0.6823 0.4623 0.3646  4 Ir 2.57-2.71, 2 Ge 2.87
Ge 0.0449 0.4174 0.0899  1 Ge 2.41, 3 Ir 2.47-2.54
Ge 0.3348 0.1386 0.6696  4 Ir 2.61-2.76
Ge 0.6652 0.8614 0.3304  4 Ir 2.61-2.76
Ge 0.9551 0.5826 0.9101  1 Ge 2.41, 3 Ir 2.47-2.54
Ge 0.3177 0.5377 0.6354  4 Ir 2.57-2.71, 2 Ge 2.87
Ir 0.5083 0.1927 0.0167  4 Ge 2.47-2.76, 1 Ir 2.74
Ir 0.4917 0.8073 0.9833  4 Ge 2.47-2.76, 1 Ir 2.74
Ir 0.2127 0.7133 0.4253  7 Ge 2.54-2.74
Ir 0.7873 0.2867 0.5747  7 Ge 2.54-2.74